First-principles (SCAN) data for BaBePCl2 at its PBEsol-relaxed geometry, as listed in the Alexandria database. Values from VASP.

Computed properties:
* volume: 44.15 Å³ per atom
* electronic total energy: -70.4 eV per cell
* ρ: 1.9 Mg/m³

Quantum ESPRESSO input file:
```
&SYSTEM
  ibrav = 0, nat = 5, ntyp = 4
/
ATOMIC_SPECIES
P 30.97 P.upf
Be 9.01 Be.upf
Ba 137.33 Ba.upf
Cl 35.45 Cl.upf
ATOMIC_POSITIONS angstrom
P 2.662 -0.648 1.742
Be 0.347 -1.061 5.128
Ba 0.000 0.000 0.000
Cl -1.385 -2.216 1.293
Cl -0.931 1.803 2.093
CELL_PARAMETERS angstrom
-1.862 3.606 4.187
-2.770 -4.432 2.585
5.325 -1.296 3.484
```

First-principles (SCAN) data for CaCr2Mo at its PBEsol-relaxed geometry, as listed in the Alexandria database. Values from VASP.

Computed properties:
* volume: 17.63 Å³ per atom
* E_form: 0.656 eV per atom
* ρ: 5.7 Mg/m³
* E above lowest polymorph: 0.14 eV per formula unit

Quantum ESPRESSO input file:
```
&SYSTEM
  ibrav = 0, nat = 4, ntyp = 3
/
ATOMIC_SPECIES
Cr 52.00 Cr.upf
Mo 95.94 Mo.upf
Ca 40.08 Ca.upf
ATOMIC_POSITIONS angstrom
Cr 1.688 -4.930 1.547
Cr 0.226 -0.949 0.271
Mo -0.595 -1.277 -2.027
Ca 2.599 -2.502 -0.882
CELL_PARAMETERS angstrom
-2.238 -1.715 -0.237
1.047 -0.840 -3.818
4.152 -4.165 2.055
```

First-principles (SCAN) data for KBa3Ir at its PBEsol-relaxed geometry, as listed in the Alexandria database. Values from VASP.

Computed properties:
* volume: 47.73 Å³ per atom
* E_form: -0.074 eV per atom
* ρ: 4.5 Mg/m³

Quantum ESPRESSO input file:
```
&SYSTEM
  ibrav = 0, nat = 5, ntyp = 3
/
ATOMIC_SPECIES
K 39.10 K.upf
Ir 192.22 Ir.upf
Ba 137.33 Ba.upf
ATOMIC_POSITIONS angstrom
K 3.101 3.101 3.101
Ir 0.000 0.000 0.000
Ba 0.000 3.101 0.000
Ba 0.000 0.000 3.101
Ba 3.101 0.000 0.000
CELL_PARAMETERS angstrom
6.203 0.000 0.000
0.000 6.203 0.000
0.000 0.000 6.203
```

First-principles (SCAN) data for Na2AlGa2 at its PBEsol-relaxed geometry, as listed in the Alexandria database. Values from VASP.

Computed properties:
* volume: 21.04 Å³ per atom
* E_form: 0.188 eV per atom
* ρ: 3.4 Mg/m³
* E above lowest polymorph: 1.14 eV per formula unit

Quantum ESPRESSO input file:
```
&SYSTEM
  ibrav = 0, nat = 5, ntyp = 3
/
ATOMIC_SPECIES
Na 22.99 Na.upf
Al 26.98 Al.upf
Ga 69.72 Ga.upf
ATOMIC_POSITIONS angstrom
Na 0.000 1.945 3.478
Na 1.945 0.000 3.478
Al 0.000 0.000 0.000
Ga 0.000 0.000 5.728
Ga 1.945 1.945 1.228
CELL_PARAMETERS angstrom
3.889 0.000 0.000
0.000 3.889 0.000
-1.945 -1.945 6.955
```

First-principles (SCAN) data for K2Sb4O11 at its PBEsol-relaxed geometry, as listed in the Alexandria database. Values from VASP.

Computed properties:
* volume: 15.71 Å³ per atom
* electronic total energy: -525.0 eV per cell
* ρ: 4.6 Mg/m³

Quantum ESPRESSO input file:
```
&SYSTEM
  ibrav = 0, nat = 34, ntyp = 3
/
ATOMIC_SPECIES
K 39.10 K.upf
O 16.00 O.upf
Sb 121.76 Sb.upf
ATOMIC_POSITIONS angstrom
K -8.957 1.726 1.437
K -2.815 -3.546 1.451
K -10.577 -2.978 1.993
K -1.194 1.159 0.894
O -2.769 0.448 -4.277
O -1.344 0.217 -2.075
O -8.549 -1.278 0.858
O -3.223 -0.541 2.030
O -6.851 3.072 0.214
O -4.921 -4.891 2.673
O -5.995 0.517 -0.607
O -5.776 -2.336 3.495
O -8.080 -3.588 4.855
O -3.692 1.769 -1.967
O -4.251 1.818 0.732
O -5.409 -3.979 5.417
O -7.521 -3.638 2.156
O -6.362 2.160 -2.530
O -6.225 0.150 2.132
O -7.279 -1.689 -1.921
O -5.546 -1.970 0.756
O -4.493 -0.130 4.808
O -8.297 -1.074 3.460
O -5.103 -0.482 -3.088
O -3.475 -0.745 -0.572
O -6.668 -1.338 5.976
Sb -5.361 2.411 -0.819
Sb -6.410 -4.231 3.707
Sb -3.267 -0.219 -2.450
Sb -8.505 -1.601 5.338
Sb -7.046 -1.671 2.043
Sb -6.847 0.195 -2.432
Sb -4.725 -0.148 0.845
Sb -4.925 -2.015 5.320
CELL_PARAMETERS angstrom
-3.946 5.178 3.097
-4.113 0.665 -6.353
-3.713 -7.663 6.144
```

First-principles (SCAN) data for Co2Tc at its PBEsol-relaxed geometry, as listed in the Alexandria database. Values from VASP.

Computed properties:
* volume: 11.16 Å³ per atom
* E_form: 0.135 eV per atom
* ρ: 10.7 Mg/m³
* E above lowest polymorph: 0.00 eV per formula unit

Quantum ESPRESSO input file:
```
&SYSTEM
  ibrav = 0, nat = 6, ntyp = 2
/
ATOMIC_SPECIES
Co 58.93 Co.upf
Tc 98.00 Tc.upf
ATOMIC_POSITIONS angstrom
Co -1.894 -1.467 1.401
Co -5.076 -0.937 2.976
Co -4.126 -2.777 1.613
Co -2.844 0.373 2.764
Tc -4.061 -0.454 0.749
Tc -2.908 -1.950 3.628
CELL_PARAMETERS angstrom
-0.470 1.410 3.758
-4.340 -0.177 -0.476
-2.160 -3.638 1.095
```

First-principles (SCAN) data for InNi4Pt at its PBEsol-relaxed geometry, as listed in the Alexandria database. Values from VASP.

Computed properties:
* volume: 12.46 Å³ per atom
* E_form: -0.023 eV per atom
* ρ: 12.1 Mg/m³

Quantum ESPRESSO input file:
```
&SYSTEM
  ibrav = 0, nat = 6, ntyp = 3
/
ATOMIC_SPECIES
In 114.82 In.upf
Ni 58.69 Ni.upf
Pt 195.08 Pt.upf
ATOMIC_POSITIONS angstrom
In 0.000 0.000 0.000
Ni 0.161 -2.085 -3.813
Ni 0.509 -4.170 -4.851
Ni -1.058 -2.657 -5.745
Ni 1.246 -2.195 -5.900
Pt 0.322 -4.165 -7.616
CELL_PARAMETERS angstrom
-2.448 -1.148 -3.879
2.178 -0.219 -4.191
0.700 -4.186 -2.084
```

First-principles (SCAN) data for MgIn2BP at its PBEsol-relaxed geometry, as listed in the Alexandria database. Values from VASP.

Computed properties:
* volume: 22.09 Å³ per atom
* E_form: 0.526 eV per atom
* ρ: 4.4 Mg/m³

Quantum ESPRESSO input file:
```
&SYSTEM
  ibrav = 0, nat = 5, ntyp = 4
/
ATOMIC_SPECIES
P 30.97 P.upf
Mg 24.30 Mg.upf
B 10.81 B.upf
In 114.82 In.upf
ATOMIC_POSITIONS angstrom
P 0.000 0.000 0.000
Mg 0.703 1.644 3.979
B -1.427 0.589 0.749
In 1.390 2.336 0.811
In 0.741 -1.281 2.420
CELL_PARAMETERS angstrom
-2.854 1.178 1.498
1.482 -2.562 4.839
2.779 4.671 1.622
```

First-principles (SCAN) data for BeCuSeBr2 at its PBEsol-relaxed geometry, as listed in the Alexandria database. Values from VASP.

Computed properties:
* volume: 20.35 Å³ per atom
* electronic total energy: -77.2 eV per cell
* ρ: 5.1 Mg/m³

Quantum ESPRESSO input file:
```
&SYSTEM
  ibrav = 0, nat = 5, ntyp = 4
/
ATOMIC_SPECIES
Be 9.01 Be.upf
Cu 63.55 Cu.upf
Se 78.96 Se.upf
Br 79.90 Br.upf
ATOMIC_POSITIONS angstrom
Be 0.000 0.000 0.000
Cu 2.291 2.356 2.356
Se 2.291 0.000 0.000
Br 0.000 0.000 2.356
Br 0.000 2.356 0.000
CELL_PARAMETERS angstrom
4.583 0.000 0.000
0.000 4.712 0.000
0.000 0.000 4.712
```

First-principles (SCAN) data for Ca3Si4Ir4 at its PBEsol-relaxed geometry, as listed in the Alexandria database. Values from VASP.

Computed properties:
* volume: 18.42 Å³ per atom
* electronic total energy: -364.4 eV per cell
* ρ: 8.2 Mg/m³

Quantum ESPRESSO input file:
```
&SYSTEM
  ibrav = 0, nat = 11, ntyp = 3
/
ATOMIC_SPECIES
Ca 40.08 Ca.upf
Ir 192.22 Ir.upf
Si 28.09 Si.upf
ATOMIC_POSITIONS angstrom
Ca -2.136 1.511 2.616
Ca 2.136 3.021 0.000
Ca 2.136 -1.511 2.616
Ir -0.590 -0.835 1.446
Ir 1.771 0.000 0.000
Ir 1.546 2.186 3.786
Ir -0.590 1.670 0.000
Si -1.351 -1.910 3.309
Si 4.052 0.000 0.000
Si 0.786 1.111 1.924
Si -1.351 3.820 0.000
CELL_PARAMETERS angstrom
6.409 0.000 0.000
-2.136 6.042 0.000
-2.136 -3.021 5.233
```

First-principles (SCAN) data for InTe2W at its PBEsol-relaxed geometry, as listed in the Alexandria database. Values from VASP.

Computed properties:
* volume: 24.09 Å³ per atom
* electronic total energy: -174.3 eV per cell
* ρ: 9.5 Mg/m³

Quantum ESPRESSO input file:
```
&SYSTEM
  ibrav = 0, nat = 4, ntyp = 3
/
ATOMIC_SPECIES
Te 127.60 Te.upf
W 183.84 W.upf
In 114.82 In.upf
ATOMIC_POSITIONS angstrom
Te 2.747 -5.149 -1.197
Te 8.931 -2.278 1.536
W 0.000 0.000 0.000
In 5.839 -3.713 0.169
CELL_PARAMETERS angstrom
-0.323 -3.003 0.469
0.419 -1.961 -2.306
11.583 -2.463 2.176
```

First-principles (SCAN) data for Ni2Sn4Au at its PBEsol-relaxed geometry, as listed in the Alexandria database. Values from VASP.

Computed properties:
* volume: 19.41 Å³ per atom
* E_form: -0.215 eV per atom
* ρ: 9.6 Mg/m³

Quantum ESPRESSO input file:
```
&SYSTEM
  ibrav = 0, nat = 7, ntyp = 3
/
ATOMIC_SPECIES
Ni 58.69 Ni.upf
Au 196.97 Au.upf
Sn 118.71 Sn.upf
ATOMIC_POSITIONS angstrom
Ni 6.931 4.888 1.199
Ni 2.816 2.562 3.517
Au 4.873 3.725 2.358
Sn 1.409 1.282 1.758
Sn 5.311 3.487 -0.441
Sn 8.338 6.169 2.958
Sn 4.436 3.963 5.157
CELL_PARAMETERS angstrom
-0.095 3.058 2.899
2.228 -0.397 3.556
7.614 4.789 -1.738
```

Please write out number 4 again, unchanged.
First-principles (SCAN) data for Na2AlGa2 at its PBEsol-relaxed geometry, as listed in the Alexandria database. Values from VASP.

Computed properties:
* volume: 21.04 Å³ per atom
* E_form: 0.188 eV per atom
* ρ: 3.4 Mg/m³
* E above lowest polymorph: 1.14 eV per formula unit

Quantum ESPRESSO input file:
```
&SYSTEM
  ibrav = 0, nat = 5, ntyp = 3
/
ATOMIC_SPECIES
Na 22.99 Na.upf
Al 26.98 Al.upf
Ga 69.72 Ga.upf
ATOMIC_POSITIONS angstrom
Na 0.000 1.945 3.478
Na 1.945 0.000 3.478
Al 0.000 0.000 0.000
Ga 0.000 0.000 5.728
Ga 1.945 1.945 1.228
CELL_PARAMETERS angstrom
3.889 0.000 0.000
0.000 3.889 0.000
-1.945 -1.945 6.955
```

Question: What is the volume in the eighth record?
Answer: 22.09 Å³ per atom

Copy entry 3 word for word.
First-principles (SCAN) data for KBa3Ir at its PBEsol-relaxed geometry, as listed in the Alexandria database. Values from VASP.

Computed properties:
* volume: 47.73 Å³ per atom
* E_form: -0.074 eV per atom
* ρ: 4.5 Mg/m³

Quantum ESPRESSO input file:
```
&SYSTEM
  ibrav = 0, nat = 5, ntyp = 3
/
ATOMIC_SPECIES
K 39.10 K.upf
Ir 192.22 Ir.upf
Ba 137.33 Ba.upf
ATOMIC_POSITIONS angstrom
K 3.101 3.101 3.101
Ir 0.000 0.000 0.000
Ba 0.000 3.101 0.000
Ba 0.000 0.000 3.101
Ba 3.101 0.000 0.000
CELL_PARAMETERS angstrom
6.203 0.000 0.000
0.000 6.203 0.000
0.000 0.000 6.203
```

Question: Which value of volume does entry 8 give?
Answer: 22.09 Å³ per atom